(1)
The following is a PBE calculation of a relaxed CsKRbH3 crystal, from Alexandria via LeMat-Bulk.

Unit cell a=7.208 b=4.231 c=10.921 alpha=90.00 beta=101.69 gamma=90.00
Space group P2_1/m (No. 11)
Asymmetric unit:
Cs 0.152 0.250 0.191
K 0.365 0.250 0.859
Rb 0.263 0.750 0.545
H 0.060 0.250 0.666
H 0.271 0.750 0.987
H 0.456 0.750 0.335

* calculated total energy: -27.969 eV for the cell shown
* calculated volume: 326.2 Å³ per cell
* DOS(E_F): 0.0 states/eV per cell

***

(2)
The following is a PBE calculation of a relaxed Cs2KRbH crystal, from Alexandria via LeMat-Bulk.

Unit cell a=6.732 b=6.732 c=6.943 alpha=90.00 beta=90.00 gamma=90.00
Space group P4/mmm (No. 123)
Asymmetric unit:
Cs 0.000 0.500 0.000
K 0.000 0.000 0.500
Rb 0.500 0.500 0.500
H 0.500 0.500 0.000

* ΔE to the lowest computed polymorph: 0 meV per atom
* calculated total energy: -7.082 eV for the cell shown
* calculated volume: 314.6 Å³ per cell
* DOS(E_F): 4.1 states/eV per cell

***

(3)
The following is a PBE calculation of a relaxed Cs2KRbH crystal, from Alexandria via LeMat-Bulk.

Unit cell a=6.585 b=6.585 c=7.371 alpha=90.00 beta=90.00 gamma=90.00
Space group P4/mmm (No. 123)
Asymmetric unit:
Cs 0.000 0.500 0.000
K 0.000 0.000 0.500
Rb 0.500 0.500 0.500
H 0.000 0.000 0.000

* ΔE to the lowest computed polymorph: 20 meV per atom
* calculated total energy: -6.982 eV for the cell shown
* calculated volume: 319.7 Å³ per cell
* DOS(E_F): 3.9 states/eV per cell